Entry 1:
# PmMg2In2Hg2 | Alexandria via LeMat-Bulk | PBE | optimized geometry
data_PmMg2In2Hg2
_chemical_formula_sum 'Pm2 Mg4 In4 Hg4'
_cell_length_a 8.262
_cell_length_b 5.128
_cell_length_c 8.840
_cell_angle_alpha 90.00
_cell_angle_beta 113.81
_cell_angle_gamma 90.00
_symmetry_space_group_name_H-M 'C 1 2/m 1'
_symmetry_Int_Tables_number 12
_symmetry_space_group_name_Hall '-C 2y'
loop_
_atom_site_label
_atom_site_type_symbol
_atom_site_fract_x
_atom_site_fract_y
_atom_site_fract_z
Pm1 Pm 0.000 0.000 0.000
Mg1 Mg 0.149 0.000 0.425
In1 In 0.056 0.500 0.709
Hg1 Hg 0.241 0.500 0.185
# Total moment: 0.00 μB/cell
# Formation energy from the elements: -0.241 eV/atom

=====

Entry 2:
# LiNbCd | Alexandria via LeMat-Bulk | PBE | optimized geometry
data_LiNbCd
_chemical_formula_sum 'Li1 Nb1 Cd1'
_cell_length_a 4.9691
_cell_length_b 4.9691
_cell_length_c 2.7200
_cell_angle_alpha 90.00
_cell_angle_beta 90.00
_cell_angle_gamma 120.00
_symmetry_space_group_name_H-M 'P -6 m 2'
_symmetry_Int_Tables_number 187
_symmetry_space_group_name_Hall 'P -6 2'
loop_
_atom_site_label
_atom_site_type_symbol
_atom_site_fract_x
_atom_site_fract_y
_atom_site_fract_z
Li1 Li 0.0000 0.0000 0.0000
Nb1 Nb 0.6667 0.3333 0.5000
Cd1 Cd 0.3333 0.6667 0.5000
# Total moment: 0.34 μB/cell
# Energy above the lowest structure with this stoichiometry: 0.468 eV per atom
# Formation energy from the elements: 0.502 eV/atom